This record from Alexandria describes crystalline VOsI2O at its relaxed geometry. The functional is PBE with a Hubbard U.

Calculated values
uncorrected energy: -4.732 eV per atom
magnetization: 1.002 μB/f.u.
relative energy among the computed polymorphs: 0.029 eV per atom

a b c (Å): 5.582 5.582 3.749
angles (deg): 90.00 90.00 90.00
Space group P4/mmm (No. 123)
One atom of each set of equivalent atoms:
1 V 0.000 0.000 0.000
2 Os 0.500 0.500 0.500
3 I 0.000 0.500 0.500
4 O 0.500 0.500 0.000